# 1
Below is crystalline Ac2SnBPd6 at its relaxed geometry, with properties calculated at the PBE-GGA level.

Unit cell a=7.473 b=7.473 c=7.473 alpha=47.28 beta=47.28 gamma=47.28
Element x y z (fractional)
1 Ac 0.232 0.232 0.232
2 Ac 0.768 0.768 0.768
3 Sn 0.500 0.500 0.500
4 B 0.000 0.000 0.000
5 Pd 0.229 0.229 0.719
6 Pd 0.229 0.719 0.229
7 Pd 0.281 0.771 0.771
8 Pd 0.719 0.229 0.229
9 Pd 0.771 0.281 0.771
10 Pd 0.771 0.771 0.281

Calculated values
The total magnetization comes out at 0.0 Bohr magnetons per cell.


# 2
Below is crystalline RbSrLi4 at its relaxed geometry, with properties calculated at the PBE-GGA level.

Unit cell a=6.681 b=6.681 c=6.681 alpha=60.00 beta=60.00 gamma=60.00
Element x y z (fractional)
1 Rb 0.000 0.000 0.000
2 Sr 0.750 0.750 0.750
3 Li 0.377 0.377 0.377
4 Li 0.377 0.377 0.868
5 Li 0.377 0.868 0.377
6 Li 0.868 0.377 0.377

Calculated values
The total magnetization comes out at 0.6 Bohr magnetons per cell.


no.,uncorrected energy (eV/atom)
1,-5.7147
2,-1.5956